No. 1
First-principles (GGA-PBEsol) data for a relaxed structure of SrReHg4, as listed in Alexandria.

a = 5.7352 Å, b = 5.7352 Å, c = 5.7352 Å
α = 60.00°, β = 60.00°, γ = 60.00°
Last column: nearest neighbours and their distance in Å.
Element x y z (fractional)
Hg  0.3757  0.3757  0.3757  6 Hg 2.85-2.88
Hg  0.3757  0.3757  0.8728  6 Hg 2.85-2.88
Hg  0.8728  0.3757  0.3757  6 Hg 2.85-2.88
Hg  0.3757  0.8728  0.3757  6 Hg 2.85-2.88
Re  0.7500  0.7500  0.7500  12 Hg 3.36, 4 Sr 3.51
Sr  0.0000  0.0000  0.0000  12 Hg 3.36, 4 Re 3.51

Computed properties:
Calculated density in Mg/m³: 13.4
Total magnetization in μB per formula unit: 2.80
D(E_F) in states/eV/atom: 0.662
Space-group type: No. 216
Uncorrected energy in eV/atom: -2.376

No. 2
First-principles (GGA-PBEsol) data for a relaxed structure of Sr4Li2Si4N8O, as listed in Alexandria.

a = 5.5673 Å, b = 9.3004 Å, c = 9.3004 Å
α = 90.00°, β = 90.00°, γ = 90.00°
Last column: nearest neighbours and their distance in Å.
Element x y z (fractional)
Sr  0.5000  0.9437  0.7348  1 O 2.52, 3 N 2.61-2.73
Sr  0.5000  0.0563  0.2652  1 O 2.52, 3 N 2.61-2.73
Sr  0.0000  0.4437  0.7652  1 O 2.52, 3 N 2.61-2.73
Sr  0.0000  0.5563  0.2348  1 O 2.52, 3 N 2.61-2.73
Sr  0.5000  0.2652  0.9437  1 O 2.52, 3 N 2.61-2.73
Sr  0.5000  0.7348  0.0563  1 O 2.52, 3 N 2.61-2.73
Sr  0.0000  0.2348  0.4437  1 O 2.52, 3 N 2.61-2.73
Sr  0.0000  0.7652  0.5563  1 O 2.52, 3 N 2.61-2.73
Li  0.1826  0.0000  0.0000  1 O 1.77
Li  0.6826  0.5000  0.5000  1 O 1.77
Li  0.8174  0.0000  0.0000  1 O 1.77
Li  0.3174  0.5000  0.5000  1 O 1.77
Si  0.5000  0.6189  0.7321  4 N 1.72-1.75
Si  0.5000  0.3811  0.2679  4 N 1.72-1.75
Si  0.0000  0.1189  0.7679  4 N 1.72-1.75
Si  0.0000  0.8811  0.2321  4 N 1.72-1.75
Si  0.5000  0.2679  0.6189  4 N 1.72-1.75
Si  0.5000  0.7321  0.3811  4 N 1.72-1.75
Si  0.0000  0.2321  0.1189  4 N 1.72-1.75
Si  0.0000  0.7679  0.8811  4 N 1.72-1.75
N  0.5000  0.4354  0.7046  2 Si 1.73-1.75
N  0.5000  0.5646  0.2954  2 Si 1.73-1.75
N  0.0000  0.9354  0.7954  2 Si 1.73-1.75
N  0.0000  0.0646  0.2046  2 Si 1.73-1.75
N  0.5000  0.2954  0.4354  2 Si 1.73-1.75
N  0.5000  0.7046  0.5646  2 Si 1.73-1.75
N  0.0000  0.2046  0.9354  2 Si 1.73-1.75
N  0.0000  0.7954  0.0646  2 Si 1.73-1.75
N  0.2500  0.6723  0.8277  2 Si 1.72
N  0.2500  0.3277  0.1723  2 Si 1.72
N  0.7500  0.1723  0.6723  2 Si 1.72
N  0.7500  0.8277  0.3277  2 Si 1.72
N  0.2500  0.1723  0.6723  2 Si 1.72
N  0.2500  0.8277  0.3277  2 Si 1.72
N  0.7500  0.3277  0.1723  2 Si 1.72
N  0.7500  0.6723  0.8277  2 Si 1.72
O  0.5000  0.0000  0.0000  2 Li 1.77
O  0.0000  0.5000  0.5000  2 Li 1.77

Computed properties:
E_form (uncorrected) in eV per formula unit: -27.70
Calculated density in Mg/m³: 4.2
Total magnetization in μB per formula unit: 0.00
D(E_F) in states/eV/atom: 0.000
Space-group type: No. 128

No. 3
First-principles (GGA-PBEsol) data for a relaxed structure of Ce3MnBi5, as listed in Alexandria.

a = 6.3249 Å, b = 9.4253 Å, c = 9.4253 Å
α = 120.00°, β = 90.00°, γ = 90.00°
Last column: nearest neighbours and their distance in Å.
Element x y z (fractional)
Ce  0.2500  0.0000  0.3817  9 Bi 3.18-3.40
Ce  0.7500  0.0000  0.6183  9 Bi 3.18-3.40
Ce  0.2500  0.6183  0.6183  9 Bi 3.18-3.40
Ce  0.2500  0.3817  0.0000  9 Bi 3.18-3.40
Ce  0.7500  0.6183  0.0000  9 Bi 3.18-3.40
Ce  0.7500  0.3817  0.3817  9 Bi 3.18-3.40
Mn  0.5000  0.0000  0.0000  6 Bi 2.89, 2 Mn 3.16
Mn  0.0000  0.0000  0.0000  6 Bi 2.89, 2 Mn 3.16
Bi  0.7500  0.7428  0.7428  2 Mn 2.89, 2 Ce 3.18
Bi  0.2500  0.2572  0.2572  2 Mn 2.89, 2 Ce 3.18
Bi  0.0000  0.3333  0.6667  2 Bi 3.16, 6 Ce 3.34
Bi  0.2500  0.7428  0.0000  2 Mn 2.89, 2 Ce 3.18
Bi  0.2500  0.0000  0.7428  2 Mn 2.89, 2 Ce 3.18
Bi  0.7500  0.0000  0.2572  2 Mn 2.89, 2 Ce 3.18
Bi  0.5000  0.6667  0.3333  2 Bi 3.16, 6 Ce 3.34
Bi  0.7500  0.2572  0.0000  2 Mn 2.89, 2 Ce 3.18
Bi  0.5000  0.3333  0.6667  2 Bi 3.16, 6 Ce 3.34
Bi  0.0000  0.6667  0.3333  2 Bi 3.16, 6 Ce 3.34

Computed properties:
Calculated density in Mg/m³: 10.4
Total magnetization in μB per formula unit: 5.93
D(E_F) in states/eV/atom: 1.591
Space-group type: No. 193
Uncorrected energy in eV/atom: -6.159

No. 4
First-principles (GGA-PBEsol) data for a relaxed structure of InPbAu3, as listed in Alexandria.

a = 5.0747 Å, b = 5.0747 Å, c = 5.0747 Å
α = 90.00°, β = 90.00°, γ = 90.00°
Last column: nearest neighbours and their distance in Å.
Element x y z (fractional)
Pb  0.5000  0.5000  0.5000  12 Au 3.59
Au  0.0000  0.5000  0.0000  2 In 2.54
Au  0.0000  0.0000  0.5000  2 In 2.54
Au  0.5000  0.0000  0.0000  2 In 2.54
In  0.0000  0.0000  0.0000  6 Au 2.54

Computed properties:
Calculated density in Mg/m³: 11.6
Total magnetization in μB per formula unit: 0.00
D(E_F) in states/eV/atom: 0.319
Space-group type: No. 221
Uncorrected energy in eV/atom: -3.317

No. 5
First-principles (GGA-PBEsol) data for a relaxed structure of HfCrI2O, as listed in Alexandria.

a = 3.9267 Å, b = 5.7001 Å, c = 5.7001 Å
α = 90.00°, β = 90.00°, γ = 90.00°
Last column: nearest neighbours and their distance in Å.
Element x y z (fractional)
I  0.0000  0.0000  0.5000  2 Hf 2.85
I  0.0000  0.5000  0.0000  2 Hf 2.85
Cr  0.5000  0.5000  0.5000  8 I 3.46
Hf  0.0000  0.0000  0.0000  2 O 1.96
O  0.5000  0.0000  0.0000  2 Hf 1.96

Computed properties:
E_form (uncorrected) in eV per formula unit: -3.00
Calculated density in Mg/m³: 6.5
Total magnetization in μB per formula unit: 5.44
D(E_F) in states/eV/atom: 0.415
Space-group type: No. 123

No. 6
First-principles (GGA-PBEsol) data for a relaxed structure of CaMgPt2, as listed in Alexandria.

a = 4.6609 Å, b = 4.6609 Å, c = 4.6609 Å
α = 60.00°, β = 60.00°, γ = 60.00°
Last column: nearest neighbours and their distance in Å.
Element x y z (fractional)
Ca  0.5000  0.5000  0.5000  4 Pt 2.85, 4 Mg 2.85
Mg  0.2500  0.2500  0.2500  4 Ca 2.85, 4 Pt 2.85
Pt  0.0000  0.0000  0.0000  4 Mg 2.85, 4 Pt 2.85
Pt  0.7500  0.7500  0.7500  4 Ca 2.85, 4 Pt 2.85

Computed properties:
Calculated density in Mg/m³: 10.5
Total magnetization in μB per formula unit: 0.00
D(E_F) in states/eV/atom: 0.447
Space-group type: No. 216
Uncorrected energy in eV/atom: -4.932

No. 7
First-principles (GGA-PBEsol) data for a relaxed structure of Sr2AlSe, as listed in Alexandria.

a = 3.7273 Å, b = 3.7273 Å, c = 8.2068 Å
α = 90.00°, β = 90.00°, γ = 90.00°
Last column: nearest neighbours and their distance in Å.
Element x y z (fractional)
Sr  0.0000  0.0000  0.7237  4 Se 3.21, 4 Al 3.48
Sr  0.0000  0.0000  0.2763  4 Se 3.21, 4 Al 3.48
Al  0.5000  0.5000  0.0000  8 Sr 3.48, 4 Al 3.73
Se  0.5000  0.5000  0.5000  8 Sr 3.21

Computed properties:
E_form (uncorrected) in eV per formula unit: -3.46
Calculated density in Mg/m³: 4.1
Total magnetization in μB per formula unit: 0.00
D(E_F) in states/eV/atom: 0.774
Space-group type: No. 123

No. 8
First-principles (GGA-PBEsol) data for a relaxed structure of LiCu2, as listed in Alexandria.

a = 2.5045 Å, b = 4.9095 Å, c = 6.0971 Å
α = 103.87°, β = 90.00°, γ = 104.78°
Last column: nearest neighbours and their distance in Å.
Element x y z (fractional)
Cu  0.5318  0.0636  0.8049  7 Cu 2.50-2.60, 5 Li 2.53-2.59
Cu  0.8634  0.7269  0.4766  3 Li 2.46-2.57, 9 Cu 2.50-2.57
Cu  0.1366  0.2731  0.5234  3 Li 2.46-2.57, 9 Cu 2.50-2.57
Cu  0.4682  0.9364  0.1951  7 Cu 2.50-2.60, 5 Li 2.53-2.59
Li  0.1909  0.3818  0.1494  8 Cu 2.46-2.59, 4 Li 2.50-2.68
Li  0.8091  0.6182  0.8506  8 Cu 2.46-2.59, 4 Li 2.50-2.68

Computed properties:
Calculated density in Mg/m³: 6.3
Total magnetization in μB per formula unit: 0.00
D(E_F) in states/eV/atom: 0.367
Space-group type: No. 12
Uncorrected energy in eV/atom: -3.542

No. 9
First-principles (GGA-PBEsol) data for a relaxed structure of SiPBr2, as listed in Alexandria.

a = 4.6545 Å, b = 4.6545 Å, c = 5.2129 Å
α = 114.09°, β = 114.09°, γ = 94.93°
Last column: nearest neighbours and their distance in Å.
Element x y z (fractional)
P  0.0000  0.0000  0.0000  4 Br 2.69
Si  0.5000  0.5000  0.0000  4 Br 2.69
Br  0.5000  0.0000  0.5000  2 Si 2.69, 2 P 2.69
Br  0.0000  0.5000  0.5000  2 P 2.69, 2 Si 2.69

Computed properties:
E_form (uncorrected) in eV per formula unit: 1.80
Calculated density in Mg/m³: 4.1
Total magnetization in μB per formula unit: 0.00
D(E_F) in states/eV/atom: 0.305
Space-group type: No. 69

No. 10
First-principles (GGA-PBEsol) data for a relaxed structure of Ho5Pb4, as listed in Alexandria.

a = 8.0408 Å, b = 8.1016 Å, c = 15.3082 Å
α = 90.00°, β = 90.00°, γ = 90.00°
Last column: nearest neighbours and their distance in Å.
Element x y z (fractional)
Ho  0.1235  0.6572  0.1209  6 Pb 3.05-3.20
Ho  0.3765  0.1572  0.8791  6 Pb 3.05-3.20
Ho  0.8765  0.3428  0.6209  6 Pb 3.05-3.20
Ho  0.6235  0.8428  0.3791  6 Pb 3.05-3.20
Ho  0.8765  0.3428  0.8791  6 Pb 3.05-3.20
Ho  0.6235  0.8428  0.1209  6 Pb 3.05-3.20
Ho  0.1235  0.6572  0.3791  6 Pb 3.05-3.20
Ho  0.3765  0.1572  0.6209  6 Pb 3.05-3.20
Ho  0.9647  0.1762  0.0993  6 Pb 3.09-3.41
Ho  0.5353  0.6762  0.9007  6 Pb 3.09-3.41
Ho  0.0353  0.8238  0.5993  6 Pb 3.09-3.41
Ho  0.4647  0.3238  0.4007  6 Pb 3.09-3.41
Ho  0.0353  0.8238  0.9007  6 Pb 3.09-3.41
Ho  0.4647  0.3238  0.0993  6 Pb 3.09-3.41
Ho  0.9647  0.1762  0.4007  6 Pb 3.09-3.41
Ho  0.5353  0.6762  0.5993  6 Pb 3.09-3.41
Ho  0.2912  0.9959  0.2500  6 Pb 3.05-3.21
Ho  0.2088  0.4959  0.7500  6 Pb 3.05-3.21
Ho  0.7088  0.0041  0.7500  6 Pb 3.05-3.21
Ho  0.7912  0.5041  0.2500  6 Pb 3.05-3.21
Pb  0.2180  0.4658  0.9570  7 Ho 3.05-3.36
Pb  0.2820  0.9658  0.0430  7 Ho 3.05-3.36
Pb  0.7820  0.5342  0.4570  7 Ho 3.05-3.36
Pb  0.7180  0.0342  0.5430  7 Ho 3.05-3.36
Pb  0.7820  0.5342  0.0430  7 Ho 3.05-3.36
Pb  0.7180  0.0342  0.9570  7 Ho 3.05-3.36
Pb  0.2180  0.4658  0.5430  7 Ho 3.05-3.36
Pb  0.2820  0.9658  0.4570  7 Ho 3.05-3.36
Pb  0.9288  0.8762  0.2500  8 Ho 3.07-3.36, 1 Pb 3.15
Pb  0.5712  0.3762  0.7500  8 Ho 3.07-3.36, 1 Pb 3.15
Pb  0.0712  0.1238  0.7500  8 Ho 3.07-3.36, 1 Pb 3.15
Pb  0.4288  0.6238  0.2500  8 Ho 3.07-3.36, 1 Pb 3.15
Pb  0.1531  0.3472  0.2500  8 Ho 3.05-3.41, 1 Pb 3.15
Pb  0.3469  0.8472  0.7500  8 Ho 3.05-3.41, 1 Pb 3.15
Pb  0.8469  0.6528  0.7500  8 Ho 3.05-3.41, 1 Pb 3.15
Pb  0.6531  0.1528  0.2500  8 Ho 3.05-3.41, 1 Pb 3.15

Computed properties:
Calculated density in Mg/m³: 11.0
Total magnetization in μB per formula unit: 0.00
D(E_F) in states/eV/atom: 0.557
Space-group type: No. 62
Uncorrected energy in eV/atom: -5.101

No. 11
First-principles (GGA-PBEsol) data for a relaxed structure of CaFeAgW2, as listed in Alexandria.

a = 4.2141 Å, b = 4.6180 Å, c = 4.6180 Å
α = 90.00°, β = 90.00°, γ = 90.00°
Last column: nearest neighbours and their distance in Å.
Element x y z (fractional)
Ca  0.0000  0.0000  0.0000  2 Fe 2.11, 4 W 2.31
Ag  0.5000  0.5000  0.5000  8 W 3.13, 4 Fe 3.27
W  0.0000  0.0000  0.5000  2 Ca 2.31
W  0.0000  0.5000  0.0000  2 Ca 2.31
Fe  0.5000  0.0000  0.0000  2 Ca 2.11

Computed properties:
Calculated density in Mg/m³: 10.6
Total magnetization in μB per formula unit: 1.65
D(E_F) in states/eV/atom: 1.175
Space-group type: No. 123
Uncorrected energy in eV/atom: -5.494

No. 12
First-principles (GGA-PBEsol) data for a relaxed structure of LaHf2Ni2, as listed in Alexandria.

a = 4.4220 Å, b = 4.4220 Å, c = 5.9391 Å
α = 111.86°, β = 111.86°, γ = 90.00°
Last column: nearest neighbours and their distance in Å.
Element x y z (fractional)
Ni  0.3799  0.3799  0.7597  1 Ni 2.43, 4 Hf 2.57
Ni  0.6201  0.6201  0.2403  1 Ni 2.43, 4 Hf 2.57
Hf  0.2500  0.7500  0.5000  4 Ni 2.57
Hf  0.7500  0.2500  0.5000  4 Ni 2.57
La  0.0000  0.0000  0.0000  8 Ni 3.35, 8 Hf 3.36

Computed properties:
Calculated density in Mg/m³: 10.3
Total magnetization in μB per formula unit: 0.00
D(E_F) in states/eV/atom: 0.709
Space-group type: No. 139
Uncorrected energy in eV/atom: -7.996